18
Lattice="3.9971 2.3077 6.0035 -3.9971 2.3077 6.0035 0.0000 -4.6155 6.0035" Properties=species:S:1:pos:R:3 comment="Rb2Pa3NiO12, optimized geometry, DFT PBE+U" final_energy_ev_per_atom=-7.444 crystal_system=trigonal pbc="T T T"
Rb 0.0000 0.0000 2.3927
Rb 0.0000 0.0000 15.6176
Pa -1.9986 -1.1539 6.0035
Pa -1.9986 1.1539 12.0069
Pa 0.0000 2.3077 6.0034
Ni 0.0000 0.0000 9.0052
O 0.0000 -1.7539 5.4112
O -1.5189 0.8770 5.4112
O -1.3261 -0.7656 7.9726
O -1.5189 -0.8770 12.5992
O 0.0000 -1.5312 10.0378
O -1.3261 0.7656 10.0378
O 1.3261 -0.7656 7.9726
O 0.0000 1.5312 7.9726
O 1.5189 0.8770 5.4112
O 1.3261 0.7656 10.0378
O 1.5190 -0.8770 12.5992
O 0.0000 1.7539 12.5992